A plane-wave DFT calculation with PBE was carried out for a relaxed Dy3Y2Th crystal.

Properties
Fermi-level density of states in states/eV/f.u.: 7.80
Symmetry: Cmc2_1
Distance to the lowest polymorph of the same formula in kcal/mol of atoms: 0.00
Final energy in eV for the cell shown: -65.5
Total magnetization in μB/atom: 0.00
ΔE_f in eV per atom: 0.23

Unit cell a=7.7920 b=7.7920 c=6.7642 alpha=90.00 beta=90.00 gamma=105.66
Fractional positions:
1 Dy 0.1438 0.8562 0.5000
2 Dy 0.1677 0.4851 0.7507
3 Dy 0.4851 0.1677 0.2507
4 Dy 0.5149 0.8323 0.7507
5 Dy 0.8323 0.5149 0.2507
6 Dy 0.8562 0.1438 0.0000
7 Y 0.2217 0.4329 0.2530
8 Y 0.4329 0.2217 0.7530
9 Y 0.5671 0.7783 0.2530
10 Y 0.7783 0.5671 0.7530
11 Th 0.1470 0.8530 0.0051
12 Th 0.8530 0.1470 0.5051